# 1
This record from OQMD via LeMat-Bulk describes a geometry-optimized CoCuBAs structure. The functional is PBE.

Cell: 4.0297 4.0297 4.0297 Å, 60.00 60.00 60.00°
Atoms (fractional coordinates):
Co 0.0000 0.0000 0.0000
Cu 0.2500 0.2500 0.2500
B 0.5000 0.5000 0.5000
As 0.7500 0.7500 0.7500

Computed properties:
* ΔE to the lowest computed polymorph: 198 meV/atom
* space-group type: No. 216

---

# 2
This record from OQMD via LeMat-Bulk describes a geometry-optimized AcUSi structure. The functional is PBE.

Cell: 5.0980 5.0980 5.0980 Å, 60.00 60.00 60.00°
Atoms (fractional coordinates):
Ac 0.0000 0.0000 0.0000
U 0.2500 0.2500 0.2500
Si 0.7500 0.7500 0.7500

Computed properties:
* ΔE to the lowest computed polymorph: 775 meV/atom
* space-group type: No. 216

---

# 3
This record from OQMD via LeMat-Bulk describes a geometry-optimized BaNd2SmO5 structure. The functional is PBE.

Cell: 7.1029 7.1029 7.1029 Å, 144.75 129.58 63.01°
Atoms (fractional coordinates):
Ba 0.0000 0.0000 0.0000
Nd 0.2834 0.7834 0.5000
Nd 0.7166 0.2166 0.5000
Sm 0.5000 0.5000 0.0000
O 0.1102 0.3511 0.7591
O 0.4081 0.6489 0.7591
O 0.5000 0.0000 0.5000
O 0.5919 0.3511 0.2409
O 0.8898 0.6489 0.2409

Computed properties:
* space-group type: No. 71
* raw total energy: -7.4369 eV/atom